No. 1
NaNiSe2Br at its PBEsol-relaxed geometry, computed with SCAN.

Calculated values
Energy = -16.318 eV/atom
Formation energy without anion corrections = -0.32 eV per atom

Lattice parameters (Å, degrees): 4.613 4.613 5.258 90.00 90.00 90.00
Space group P4/mmm (No. 123)
Inequivalent atoms, fractional coordinates:
Na  0.000  0.000  0.000 x1
Ni  0.500  0.500  0.500 x1
Se  0.000  0.500  0.500 x2
Br  0.500  0.500  0.000 x1



No. 2
NaBrO2 at its PBEsol-relaxed geometry, computed with SCAN.

Calculated values
Energy = -9.191 eV/atom
Formation energy without anion corrections = -0.16 eV per atom

Lattice parameters (Å, degrees): 4.628 4.628 12.099 90.00 90.00 90.00
Space group I-42d (No. 122)
Inequivalent atoms, fractional coordinates:
Na  0.000  0.000  0.000 x4
Br  0.000  0.000  0.500 x4
O  0.181  0.250  0.625 x8



No. 3
NaPdBrO2 at its PBEsol-relaxed geometry, computed with SCAN.

Calculated values
Energy = -13.354 eV/atom
Formation energy without anion corrections = 0.43 eV per atom

Lattice parameters (Å, degrees): 4.053 4.053 5.356 90.00 90.00 90.00
Space group P4/mmm (No. 123)
Inequivalent atoms, fractional coordinates:
Na  0.000  0.000  0.000 x1
Pd  0.500  0.500  0.500 x1
Br  0.000  0.000  0.500 x1
O  0.000  0.500  0.000 x2



No. 4
NaSnBr2O at its PBEsol-relaxed geometry, computed with SCAN.

Calculated values
Energy = -17.008 eV/atom
Formation energy without anion corrections = 0.05 eV per atom

Lattice parameters (Å, degrees): 5.470 5.470 7.161 90.00 90.00 90.00
Space group P4/mmm (No. 123)
Inequivalent atoms, fractional coordinates:
Na  0.000  0.000  0.000 x1
Sn  0.000  0.000  0.500 x1
Br  0.000  0.500  0.500 x2
O  0.500  0.500  0.000 x1



No. 5
NaW2Br6O2 at its PBEsol-relaxed geometry, computed with SCAN.

Calculated values
Energy = -25.935 eV/atom
Formation energy without anion corrections = -1.13 eV per atom

Lattice parameters (Å, degrees): 17.133 3.783 10.972 90.00 129.60 90.00
Space group C2/m (No. 12)
Inequivalent atoms, fractional coordinates:
Na  0.000  0.000  0.000 x2
W  0.000  0.500  0.325 x4
Br  0.133  0.500  0.633 x4
Br  0.135  0.500  0.969 x4
Br  0.136  0.500  0.301 x4
O  0.000  0.000  0.329 x4



No. 6
NaOs2Br at its PBEsol-relaxed geometry, computed with SCAN.

Calculated values
Energy = -39.931 eV/atom
Formation energy without anion corrections = 1.93 eV per atom

Lattice parameters (Å, degrees): 6.232 6.232 6.232 90.00 90.00 90.00
Space group Fm-3m (No. 225)
Inequivalent atoms, fractional coordinates:
Na  0.000  0.000  0.000 x4
Os  0.250  0.250  0.250 x8
Br  0.000  0.000  0.500 x4



No. 7
NaTa2OsBr at its PBEsol-relaxed geometry, computed with SCAN.

Calculated values
Energy = -43.938 eV/atom
Formation energy without anion corrections = 1.81 eV per atom

Lattice parameters (Å, degrees): 4.674 4.674 4.461 90.00 90.00 90.00
Space group P4/mmm (No. 123)
Inequivalent atoms, fractional coordinates:
Na  0.000  0.000  0.000 x1
Ta  0.000  0.500  0.500 x2
Os  0.500  0.500  0.000 x1
Br  0.000  0.000  0.500 x1



No. 8
NaPBr2 at its PBEsol-relaxed geometry, computed with SCAN.

Calculated values
Energy = -13.608 eV/atom
Formation energy without anion corrections = -0.23 eV per atom

Lattice parameters (Å, degrees): 5.400 5.400 16.193 90.00 90.00 90.00
Space group I-42d (No. 122)
Inequivalent atoms, fractional coordinates:
Na  0.000  0.000  0.000 x4
P  0.000  0.000  0.500 x4
Br  0.194  0.250  0.625 x8



No. 9
Na2PBr at its PBEsol-relaxed geometry, computed with SCAN.

Calculated values
Energy = -10.005 eV/atom
Formation energy without anion corrections = -0.43 eV per atom

Lattice parameters (Å, degrees): 7.826 7.826 6.012 90.00 90.00 90.00
Space group I-42d (No. 122)
Inequivalent atoms, fractional coordinates:
Na  0.246  0.250  0.125 x8
P  0.000  0.000  0.000 x4
Br  0.000  0.000  0.500 x4



No. 10
NaPSe2Br at its PBEsol-relaxed geometry, computed with SCAN.

Calculated values
Energy above the lowest structure with this stoichiometry = 0 meV per atom
Energy = -15.077 eV/atom
Formation energy without anion corrections = -0.23 eV per atom

Lattice parameters (Å, degrees): 4.786 4.786 5.364 90.00 90.00 90.00
Space group P4/mmm (No. 123)
Inequivalent atoms, fractional coordinates:
Na  0.000  0.000  0.000 x1
P  0.500  0.500  0.500 x1
Se  0.000  0.500  0.500 x2
Br  0.500  0.500  0.000 x1



No. 11
NaPSe2Br at its PBEsol-relaxed geometry, computed with SCAN.

Calculated values
Energy above the lowest structure with this stoichiometry = 1079 meV per atom
Energy = -13.998 eV/atom
Formation energy without anion corrections = 0.85 eV per atom

Lattice parameters (Å, degrees): 5.070 5.070 4.963 90.00 90.00 90.00
Space group P4/mmm (No. 123)
Inequivalent atoms, fractional coordinates:
Na  0.000  0.000  0.000 x1
P  0.500  0.500  0.500 x1
Se  0.000  0.500  0.000 x2
Br  0.000  0.000  0.500 x1



No. 12
Na2TePBr at its PBEsol-relaxed geometry, computed with SCAN.

Calculated values
Energy = -15.191 eV/atom
Formation energy without anion corrections = -0.08 eV per atom

Lattice parameters (Å, degrees): 5.733 5.733 4.642 90.00 90.00 90.00
Space group P4/mmm (No. 123)
Inequivalent atoms, fractional coordinates:
Na  0.000  0.500  0.000 x2
Te  0.000  0.000  0.500 x1
P  0.500  0.500  0.000 x1
Br  0.500  0.500  0.500 x1



No. 13
Na3PbBr at its PBEsol-relaxed geometry, computed with SCAN.

Calculated values
Energy = -21.834 eV/atom
Formation energy without anion corrections = -0.26 eV per atom

Lattice parameters (Å, degrees): 5.926 5.926 5.926 90.00 90.00 90.00
Space group Pm-3m (No. 221)
Inequivalent atoms, fractional coordinates:
Na  0.000  0.000  0.500 x3
Pb  0.000  0.000  0.000 x1
Br  0.500  0.500  0.500 x1



No. 14
NaPb2SBr at its PBEsol-relaxed geometry, computed with SCAN.

Calculated values
Energy = -37.028 eV/atom
Formation energy without anion corrections = -0.06 eV per atom

Lattice parameters (Å, degrees): 5.337 5.337 7.269 90.00 90.00 90.00
Space group P4/mmm (No. 123)
Inequivalent atoms, fractional coordinates:
Na  0.000  0.000  0.000 x1
Pb  0.000  0.500  0.500 x2
S  0.500  0.500  0.500 x1
Br  0.500  0.500  0.000 x1



No. 15
NaPd2Br at its PBEsol-relaxed geometry, computed with SCAN.

Calculated values
Energy = -22.456 eV/atom
Formation energy without anion corrections = -0.15 eV per atom

Lattice parameters (Å, degrees): 3.852 3.852 19.834 90.00 90.00 90.00
Space group I-42d (No. 122)
Inequivalent atoms, fractional coordinates:
Na  0.000  0.000  0.000 x4
Pd  0.242  0.250  0.625 x8
Br  0.000  0.000  0.500 x4



No. 16
NaPdBr2 at its PBEsol-relaxed geometry, computed with SCAN.

Calculated values
Energy above the lowest structure with this stoichiometry = 151 meV per atom
Energy = -19.510 eV/atom
Formation energy without anion corrections = -0.53 eV per atom

Lattice parameters (Å, degrees): 6.925 6.925 6.925 90.00 90.00 90.00
Space group Fm-3m (No. 225)
Inequivalent atoms, fractional coordinates:
Na  0.000  0.000  0.000 x4
Pd  0.000  0.000  0.500 x4
Br  0.250  0.250  0.250 x8



No. 17
NaPdBr2 at its PBEsol-relaxed geometry, computed with SCAN.

Calculated values
Energy above the lowest structure with this stoichiometry = 0 meV per atom
Energy = -19.661 eV/atom
Formation energy without anion corrections = -0.68 eV per atom

Lattice parameters (Å, degrees): 5.726 5.726 14.111 90.00 90.00 90.00
Space group I-42d (No. 122)
Inequivalent atoms, fractional coordinates:
Na  0.000  0.000  0.000 x4
Pd  0.000  0.000  0.500 x4
Br  0.201  0.250  0.625 x8



No. 18
Na2PdRhBr at its PBEsol-relaxed geometry, computed with SCAN.

Calculated values
Energy = -18.511 eV/atom
Formation energy without anion corrections = 0.38 eV per atom

Lattice parameters (Å, degrees): 5.112 5.112 4.767 90.00 90.00 90.00
Space group P4/mmm (No. 123)
Inequivalent atoms, fractional coordinates:
Na  0.000  0.500  0.000 x2
Pd  0.000  0.000  0.500 x1
Rh  0.500  0.500  0.500 x1
Br  0.000  0.000  0.000 x1



No. 19
NaPtSeBr2 at its PBEsol-relaxed geometry, computed with SCAN.

Calculated values
Energy = -25.882 eV/atom
Formation energy without anion corrections = 0.80 eV per atom

Lattice parameters (Å, degrees): 4.966 4.966 5.156 90.00 90.00 90.00
Space group P4/mmm (No. 123)
Inequivalent atoms, fractional coordinates:
Na  0.000  0.000  0.000 x1
Pt  0.500  0.500  0.500 x1
Se  0.000  0.000  0.500 x1
Br  0.000  0.500  0.000 x2



No. 20
Rb3NaBr at its PBEsol-relaxed geometry, computed with SCAN.

Calculated values
Energy = -17.901 eV/atom
Formation energy without anion corrections = -0.72 eV per atom

Lattice parameters (Å, degrees): 6.717 6.717 6.717 90.00 90.00 90.00
Space group Pm-3m (No. 221)
Inequivalent atoms, fractional coordinates:
Rb  0.000  0.000  0.500 x3
Na  0.500  0.500  0.500 x1
Br  0.000  0.000  0.000 x1



No. 21
RbNa2Br2 at its PBEsol-relaxed geometry, computed with SCAN.

Calculated values
Energy = -14.841 eV/atom
Formation energy without anion corrections = -1.22 eV per atom

Lattice parameters (Å, degrees): 4.981 4.981 15.122 90.00 90.00 90.00
Space group I4/mmm (No. 139)
Inequivalent atoms, fractional coordinates:
Rb  0.000  0.000  0.000 x2
Na  0.000  0.500  0.250 x4
Br  0.000  0.000  0.358 x4



No. 22
RbNaSeBr2 at its PBEsol-relaxed geometry, computed with SCAN.

Calculated values
Energy = -17.717 eV/atom
Formation energy without anion corrections = -0.93 eV per atom

Lattice parameters (Å, degrees): 5.578 5.578 5.374 90.00 90.00 90.00
Space group P4/mmm (No. 123)
Inequivalent atoms, fractional coordinates:
Rb  0.000  0.000  0.000 x1
Na  0.500  0.500  0.500 x1
Se  0.500  0.500  0.000 x1
Br  0.000  0.500  0.500 x2



No. 23
NaReBr2 at its PBEsol-relaxed geometry, computed with SCAN.

Calculated values
Energy = -27.811 eV/atom
Formation energy without anion corrections = 0.75 eV per atom

Lattice parameters (Å, degrees): 6.581 6.581 6.581 90.00 90.00 90.00
Space group Fm-3m (No. 225)
Inequivalent atoms, fractional coordinates:
Na  0.000  0.000  0.000 x4
Re  0.000  0.000  0.500 x4
Br  0.250  0.250  0.250 x8



No. 24
Na2ReSnBr at its PBEsol-relaxed geometry, computed with SCAN.

Calculated values
Energy = -26.356 eV/atom
Formation energy without anion corrections = 0.63 eV per atom

Lattice parameters (Å, degrees): 5.848 5.848 5.068 90.00 90.00 90.00
Space group P4/mmm (No. 123)
Inequivalent atoms, fractional coordinates:
Na  0.000  0.500  0.000 x2
Re  0.000  0.000  0.500 x1
Sn  0.000  0.000  0.000 x1
Br  0.500  0.500  0.500 x1



No. 25
NaRh2Br at its PBEsol-relaxed geometry, computed with SCAN.

Calculated values
Energy = -22.120 eV/atom
Formation energy without anion corrections = 0.68 eV per atom

Lattice parameters (Å, degrees): 6.312 6.312 6.312 90.00 90.00 90.00
Space group Fm-3m (No. 225)
Inequivalent atoms, fractional coordinates:
Na  0.000  0.000  0.000 x4
Rh  0.250  0.250  0.250 x8
Br  0.000  0.000  0.500 x4



No. 26
Na2TiRuBr at its PBEsol-relaxed geometry, computed with SCAN.

Calculated values
Energy = -14.592 eV/atom
Formation energy without anion corrections = 1.16 eV per atom

Lattice parameters (Å, degrees): 5.785 5.785 4.698 90.00 90.00 90.00
Space group P4/mmm (No. 123)
Inequivalent atoms, fractional coordinates:
Na  0.000  0.500  0.000 x2
Ti  0.000  0.000  0.000 x1
Ru  0.500  0.500  0.500 x1
Br  0.000  0.000  0.500 x1



No. 27
NaSb3Br at its PBEsol-relaxed geometry, computed with SCAN.

Calculated values
Energy = -26.292 eV/atom
Formation energy without anion corrections = 0.80 eV per atom

Lattice parameters (Å, degrees): 5.347 5.347 5.347 90.00 90.00 90.00
Space group Pm-3m (No. 221)
Inequivalent atoms, fractional coordinates:
Na  0.000  0.000  0.000 x1
Sb  0.000  0.000  0.500 x3
Br  0.500  0.500  0.500 x1



No. 28
NaSrSbBr2 at its PBEsol-relaxed geometry, computed with SCAN.

Calculated values
Energy = -21.495 eV/atom
Formation energy without anion corrections = -0.96 eV per atom

Lattice parameters (Å, degrees): 5.812 5.812 6.512 90.00 90.00 90.00
Space group P4/mmm (No. 123)
Inequivalent atoms, fractional coordinates:
Na  0.000  0.000  0.000 x1
Sr  0.500  0.500  0.500 x1
Sb  0.500  0.500  0.000 x1
Br  0.000  0.500  0.500 x2